SrAgTe2N: optimized geometry, GGA-PBE.

Cell: 6.2747 6.2747 4.8325 Å, 90.00 90.00 90.00°
With the nearest neighbours (Å) after each atom.
Space group P4/mmm (No. 123)
Symmetry-distinct sites (fractional):
Sr: 0.0000 0.0000 0.0000  2 N 2.42
Ag: 0.5000 0.5000 0.5000  8 Te 3.96
Te: 0.0000 0.5000 0.0000  2 Sr 3.14
N: 0.0000 0.0000 0.5000  2 Sr 2.42

Results
The formation energy (no corrections) is 4.3 eV/f.u. For the relative energy among the computed polymorphs, the calculation gives 642.4 meV/atom. The calculation puts the density of states at the Fermi level at 1.028 states/eV per atom.

=====

SrAgTeN2: optimized geometry, GGA-PBE.

Cell: 4.4978 4.4978 5.6273 Å, 90.00 90.00 90.00°
With the nearest neighbours (Å) after each atom.
Space group P4/mmm (No. 123)
Symmetry-distinct sites (fractional):
Sr: 0.0000 0.0000 0.0000  4 Te 3.18
Ag: 0.5000 0.5000 0.5000  4 N 2.25
Te: 0.5000 0.5000 0.0000  2 Ag 2.81
N: 0.0000 0.5000 0.5000  2 Ag 2.25

Results
The formation energy (no corrections) is 5.0 eV/f.u. For the relative energy among the computed polymorphs, the calculation gives 0.0 meV/atom. The calculation puts the density of states at the Fermi level at 0.618 states/eV per atom.

=====

SrAgTe2N: optimized geometry, GGA-PBE.

Cell: 5.7605 5.7605 4.1284 Å, 90.00 90.00 90.00°
With the nearest neighbours (Å) after each atom.
Space group P4/mmm (No. 123)
Symmetry-distinct sites (fractional):
Sr: 0.0000 0.0000 0.0000  8 Te 3.54
Ag: 0.5000 0.5000 0.5000  2 N 2.06
Te: 0.0000 0.5000 0.5000  2 Ag 2.88
N: 0.5000 0.5000 0.0000  2 Ag 2.06

Results
The formation energy (no corrections) is 1.1 eV/f.u. For the relative energy among the computed polymorphs, the calculation gives 0.0 meV/atom. The calculation puts the density of states at the Fermi level at 0.680 states/eV per atom.

=====

no.,mass density (g/cm3)
1,4.1
2,5.1
3,5.6